# 1
Material: RbCu2Rh
Method: DFT, PBE-GGA
State: relaxed

Formation enthalpy at 0 K: 937 meV per atom
Energy relative to the lowest polymorph listed for this composition: 0.2974 eV per atom

The structure in CIF format:
```
data_RbCu2Rh
_cell_length_a 6.6971
_cell_length_b 6.6971
_cell_length_c 6.6971
_cell_angle_alpha 90.00
_cell_angle_beta 90.00
_cell_angle_gamma 90.00
_space_group_name_H-M_alt 'F m -3 m'
_space_group_IT_number 225
_space_group_name_Hall '-F 4 2 3'
loop_
_atom_site_label
_atom_site_fract_x
_atom_site_fract_y
_atom_site_fract_z
Rb1 0.0000 0.0000 0.0000
Cu1 0.2500 0.2500 0.2500
Rh1 0.0000 0.0000 0.5000
```


# 2
Material: UCuGe
Method: DFT, PBE-GGA
State: relaxed

Formation enthalpy at 0 K: 63 meV per atom

The structure in CIF format:
```
data_UCuGe
_cell_length_a 3.9987
_cell_length_b 3.9987
_cell_length_c 23.5241
_cell_angle_alpha 90.00
_cell_angle_beta 90.00
_cell_angle_gamma 120.00
_space_group_name_H-M_alt 'R -3 m'
_space_group_IT_number 166
_space_group_name_Hall '-R 3 2"'
loop_
_atom_site_label
_atom_site_fract_x
_atom_site_fract_y
_atom_site_fract_z
U1 0.0000 0.0000 0.1400
Cu1 0.0000 0.0000 0.2683
Ge1 0.0000 0.0000 0.3763
```


# 3
Material: AlPHCl2
Method: DFT, PBE-GGA
State: relaxed

Energy relative to the lowest polymorph listed for this composition: 0.1367 eV per atom

The structure in CIF format:
```
data_AlPHCl2
_cell_length_a 5.1304
_cell_length_b 5.1304
_cell_length_c 3.2958
_cell_angle_alpha 90.00
_cell_angle_beta 90.00
_cell_angle_gamma 90.00
_space_group_name_H-M_alt 'P 4/m m m'
_space_group_IT_number 123
_space_group_name_Hall '-P 4 2'
loop_
_atom_site_label
_atom_site_fract_x
_atom_site_fract_y
_atom_site_fract_z
Al1 0.0000 0.0000 0.0000
P1 0.5000 0.5000 0.0000
H1 0.5000 0.5000 0.5000
Cl1 0.0000 0.5000 0.5000
```


# 4
Material: Np2GaRh3
Method: DFT, PBE-GGA
State: relaxed

Formation enthalpy at 0 K: -514 meV per atom

The structure in CIF format:
```
data_Np2GaRh3
_cell_length_a 5.5873
_cell_length_b 5.5873
_cell_length_c 7.7772
_cell_angle_alpha 90.00
_cell_angle_beta 90.00
_cell_angle_gamma 120.00
_space_group_name_H-M_alt 'P 63/m m c'
_space_group_IT_number 194
_space_group_name_Hall '-P 6c 2c'
loop_
_atom_site_label
_atom_site_fract_x
_atom_site_fract_y
_atom_site_fract_z
Np1 0.3333 0.6667 0.0739
Ga1 0.0000 0.0000 0.0000
Rh1 0.1714 0.3428 0.7500
```


# 5
Material: RbMgNb
Method: DFT, PBE-GGA
State: relaxed

Formation enthalpy at 0 K: 1626 meV per atom
Energy relative to the lowest polymorph listed for this composition: 1.2439 eV per atom

The structure in CIF format:
```
data_RbMgNb
_cell_length_a 7.7663
_cell_length_b 7.7663
_cell_length_c 7.7663
_cell_angle_alpha 90.00
_cell_angle_beta 90.00
_cell_angle_gamma 90.00
_space_group_name_H-M_alt 'F -4 3 m'
_space_group_IT_number 216
_space_group_name_Hall 'F -4 2 3'
loop_
_atom_site_label
_atom_site_fract_x
_atom_site_fract_y
_atom_site_fract_z
Rb1 0.0000 0.0000 0.0000
Mg1 0.2500 0.2500 0.2500
Nb1 0.0000 0.0000 0.5000
```


# 6
Material: ZrSn2Pd
Method: DFT, PBE-GGA
State: relaxed

Formation enthalpy at 0 K: -479 meV per atom

The structure in CIF format:
```
data_ZrSn2Pd
_cell_length_a 4.5297
_cell_length_b 4.5297
_cell_length_c 3.9995
_cell_angle_alpha 90.00
_cell_angle_beta 90.00
_cell_angle_gamma 90.00
_space_group_name_H-M_alt 'P 4/m m m'
_space_group_IT_number 123
_space_group_name_Hall '-P 4 2'
loop_
_atom_site_label
_atom_site_fract_x
_atom_site_fract_y
_atom_site_fract_z
Zr1 0.0000 0.0000 0.0000
Sn1 0.0000 0.5000 0.5000
Pd1 0.5000 0.5000 0.0000
```


# 7
Material: SrAl4Si2N8O
Method: DFT, PBE-GGA
State: relaxed

Formation energy (no corrections): -0.90 eV/atom

The structure in CIF format:
```
data_SrAl4Si2N8O
_cell_length_a 8.5687
_cell_length_b 10.1409
_cell_length_c 5.2287
_cell_angle_alpha 90.00
_cell_angle_beta 90.00
_cell_angle_gamma 90.00
_space_group_name_H-M_alt 'I m m 2'
_space_group_IT_number 44
_space_group_name_Hall 'I 2 -2'
loop_
_atom_site_label
_atom_site_fract_x
_atom_site_fract_y
_atom_site_fract_z
Sr1 0.0000 0.0000 0.0000
Al1 0.1882 0.3278 0.8381
Si1 0.0000 0.3396 0.3396
N1 0.0000 0.3044 0.6624
N2 0.1619 0.2787 0.1806
N3 0.2361 0.0000 0.2989
O1 0.0000 0.5000 0.2924
```


# 8
Material: K2Ta3
Method: DFT, PBE-GGA
State: relaxed

Formation enthalpy at 0 K: 1074 meV per atom
Energy relative to the lowest polymorph listed for this composition: 0.0000 eV per atom

The structure in CIF format:
```
data_K2Ta3
_cell_length_a 2.9449
_cell_length_b 2.9449
_cell_length_c 15.7243
_cell_angle_alpha 90.00
_cell_angle_beta 90.00
_cell_angle_gamma 120.00
_space_group_name_H-M_alt 'P -3 m 1'
_space_group_IT_number 164
_space_group_name_Hall '-P 3 2"'
loop_
_atom_site_label
_atom_site_fract_x
_atom_site_fract_y
_atom_site_fract_z
K1 0.3333 0.6667 0.2911
Ta1 0.0000 0.0000 0.5000
Ta2 0.3333 0.6667 0.9189
```


# 9
Material: Ag3F
Method: DFT, PBE-GGA
State: relaxed

Formation energy (no corrections): -0.47 eV/atom
Energy relative to the lowest polymorph listed for this composition: 0.0000 eV per atom

The structure in CIF format:
```
data_Ag3F
_cell_length_a 5.9961
_cell_length_b 2.9758
_cell_length_c 7.6335
_cell_angle_alpha 90.00
_cell_angle_beta 107.27
_cell_angle_gamma 90.00
_space_group_name_H-M_alt 'P 1 21/m 1'
_space_group_IT_number 11
_space_group_name_Hall '-P 2yb'
loop_
_atom_site_label
_atom_site_fract_x
_atom_site_fract_y
_atom_site_fract_z
Ag1 0.0715 0.2500 0.3497
Ag2 0.2173 0.7500 0.0726
Ag3 0.4269 0.7500 0.6294
F1 0.3222 0.2500 0.8501
```


# 10
Material: Na7Cu7O13
Method: DFT, PBE-GGA
State: relaxed

Formation energy (no corrections): -0.96 eV/atom

The structure in CIF format:
```
data_Na7Cu7O13
_cell_length_a 6.7186
_cell_length_b 6.9134
_cell_length_c 7.6687
_cell_angle_alpha 98.26
_cell_angle_beta 99.98
_cell_angle_gamma 101.44
_space_group_name_H-M_alt 'P 1'
_space_group_IT_number 1
_space_group_name_Hall 'P 1'
loop_
_atom_site_label
_atom_site_fract_x
_atom_site_fract_y
_atom_site_fract_z
Na1 0.0000 0.0000 0.0000
Na2 0.1265 0.1383 0.7131
Na3 0.2674 0.2797 0.4271
Na4 0.4133 0.4281 0.1484
Na5 0.5522 0.5394 0.8467
Na6 0.6994 0.7095 0.5745
Na7 0.8476 0.8469 0.2987
Cu1 0.1306 0.6409 0.7188
Cu2 0.2762 0.7832 0.4301
Cu3 0.4130 0.9298 0.1435
Cu4 0.5518 0.0653 0.8598
Cu5 0.6968 0.2008 0.5723
Cu6 0.8388 0.3507 0.2860
Cu7 0.9854 0.4971 0.0030
O1 0.0517 0.3325 0.1641
O2 0.0615 0.7975 0.5535
O3 0.1913 0.9394 0.2699
O4 0.2009 0.4808 0.8831
O5 0.3444 0.6228 0.5971
O6 0.3486 0.0824 0.9809
O7 0.4786 0.2212 0.6821
O8 0.4919 0.7678 0.3070
O9 0.6285 0.3662 0.4097
O10 0.7697 0.5152 0.1222
O11 0.7716 0.0442 0.7425
O12 0.9093 0.1877 0.4476
O13 0.9148 0.6595 0.8412
```


# 11
Material: MgCd4Cu
Method: DFT, PBE-GGA
State: relaxed

Formation enthalpy at 0 K: 17 meV per atom
Energy relative to the lowest polymorph listed for this composition: 0.0000 eV per atom

The structure in CIF format:
```
data_MgCd4Cu
_cell_length_a 14.0023
_cell_length_b 7.1243
_cell_length_c 5.3932
_cell_angle_alpha 90.00
_cell_angle_beta 110.32
_cell_angle_gamma 90.00
_space_group_name_H-M_alt 'C 1 2/m 1'
_space_group_IT_number 12
_space_group_name_Hall '-C 2y'
loop_
_atom_site_label
_atom_site_fract_x
_atom_site_fract_y
_atom_site_fract_z
Mg1 0.2023 0.0000 0.1927
Cd1 0.0000 0.1922 0.0000
Cd2 0.1229 0.2242 0.6086
Cd3 0.1813 0.5000 0.1877
Cu1 0.0061 0.5000 0.7341
```


# 12
Material: BaInBF6
Method: DFT, PBE-GGA
State: relaxed

Formation energy (no corrections): -2.98 eV/atom

The structure in CIF format:
```
data_BaInBF6
_cell_length_a 4.7699
_cell_length_b 4.8907
_cell_length_c 7.2907
_cell_angle_alpha 72.74
_cell_angle_beta 74.12
_cell_angle_gamma 87.47
_space_group_name_H-M_alt 'P 1'
_space_group_IT_number 1
_space_group_name_Hall 'P 1'
loop_
_atom_site_label
_atom_site_fract_x
_atom_site_fract_y
_atom_site_fract_z
Ba1 0.0000 0.0000 0.0000
In1 0.6025 0.6788 0.6450
B1 0.2383 0.3112 0.3326
F1 0.1151 0.5545 0.8565
F2 0.2528 0.1796 0.5299
F3 0.2753 0.6130 0.2827
F4 0.4566 0.2084 0.1950
F5 0.5682 0.9832 0.8460
F6 0.9618 0.2452 0.3138
```